Entry 1:
An optimized crystal structure of La4SmHo5, computed with PBE.

Formation energy from the elements = 195 meV per atom
Symmetry = No. 12
Excess energy over the best structure of this formula in the dataset = 170 meV/atom

a b c (Å): 3.5466 11.5029 8.7844
angles (deg): 90.29 101.65 90.00
Sites, in units of the cell vectors:
La1 0.6625 0.2496 0.3249
La2 0.0338 0.7486 0.0676
La3 0.3375 0.7504 0.6751
La4 0.9662 0.2514 0.9324
Sm1 0.5000 0.0000 0.0000
Ho1 0.1737 0.9503 0.3474
Ho2 0.1724 0.5460 0.3449
Ho3 0.8276 0.4540 0.6551
Ho4 0.5000 0.5000 0.0000
Ho5 0.8263 0.0497 0.6526

Entry 2:
An optimized crystal structure of Nb8RuW2, computed with PBE.

Formation energy from the elements = 119 meV per atom
Symmetry = No. 12

a b c (Å): 5.3471 7.5570 7.5570
angles (deg): 41.49 77.56 77.56
Sites, in units of the cell vectors:
Nb1 0.0821 0.0875 0.5823
Nb2 0.0821 0.5823 0.0875
Nb3 0.9179 0.9125 0.4177
Nb4 0.2581 0.5010 0.5010
Nb5 0.9179 0.4177 0.9125
Nb6 0.4468 0.1068 0.1068
Nb7 0.5532 0.8932 0.8932
Nb8 0.7419 0.4990 0.4990
Ru1 0.0000 0.0000 0.0000
W1 0.5648 0.3070 0.3070
W2 0.4352 0.6930 0.6930

Entry 3:
An optimized crystal structure of ScTe4Pb, computed with PBE.

Symmetry = No. 216
Formation energy without anion corrections = 0.26 eV/atom

a b c (Å): 6.3413 6.3413 6.3413
angles (deg): 60.00 60.00 60.00
Sites, in units of the cell vectors:
Sc1 0.0000 0.0000 0.0000
Te1 0.3745 0.8766 0.3745
Te2 0.8766 0.3745 0.3745
Te3 0.3745 0.3745 0.8766
Te4 0.3745 0.3745 0.3745
Pb1 0.7500 0.7500 0.7500

Entry 4:
An optimized crystal structure of Ba2TeSe2, computed with PBE.

Symmetry = No. 127
Formation energy without anion corrections = -1.42 eV/atom
Excess energy over the best structure of this formula in the dataset = 166 meV/atom

a b c (Å): 8.7674 8.7674 4.3947
angles (deg): 90.00 90.00 90.00
Sites, in units of the cell vectors:
Te1 0.0000 0.0000 0.0000
Te2 0.5000 0.5000 0.0000
Ba1 0.1607 0.6607 0.5000
Ba2 0.6607 0.8393 0.5000
Ba3 0.8393 0.3393 0.5000
Ba4 0.3393 0.1607 0.5000
Se1 0.3490 0.8490 0.0000
Se2 0.8490 0.6510 0.0000
Se3 0.6510 0.1510 0.0000
Se4 0.1510 0.3490 0.0000

| no. | volume (Å³ per atom) | size of the total moment (μB per formula unit) | calculated total energy (eV/cell) |
| --- | --- | --- | --- |
| 1 | 35.1 | 0.0 | -45.37 |
| 2 | 17.9 | 0.0 | -114.43 |
| 3 | 30.1 | 0.0 | -21.03 |
| 4 | 33.8 | 0.0 | -42.14 |